1.
Density functional theory data (PBE) for a geometry-optimized Pm5Mg4Ru4 structure.

Crystal system: tetragonal
ΔH_f (0 K) (eV per atom): -0.177

Lattice parameters (Å, degrees): 4.332 8.497 8.497 86.28 75.23 75.23
Fractional coordinates of all 13 atoms:
Pm  0.706  0.924  0.665
Pm  0.294  0.076  0.335
Pm  0.000  0.000  0.000
Pm  0.629  0.665  0.076
Pm  0.371  0.335  0.924
Mg  0.892  0.525  0.690
Mg  0.583  0.310  0.525
Mg  0.108  0.475  0.310
Mg  0.417  0.690  0.475
Ru  0.754  0.309  0.182
Ru  0.246  0.691  0.818
Ru  0.937  0.818  0.309
Ru  0.063  0.182  0.691


2.
Density functional theory data (PBE) for a geometry-optimized Pm8Mg2Ru structure.

Crystal system: monoclinic
ΔH_f (0 K) (eV per atom): -0.045

Lattice parameters (Å, degrees): 5.685 7.136 9.282 109.41 107.83 90.00
Fractional coordinates of all 11 atoms:
Pm  0.399  0.599  0.798
Pm  0.643  0.920  0.286
Pm  0.807  0.757  0.615
Pm  0.986  0.222  0.971
Pm  0.193  0.243  0.385
Pm  0.357  0.080  0.714
Pm  0.601  0.401  0.202
Pm  0.014  0.778  0.029
Mg  0.814  0.308  0.627
Mg  0.186  0.692  0.373
Ru  0.500  0.000  0.000